Material: YAgMo2
Method: DFT, GGA-PBE
State: relaxed

Structure (POSCAR):
```
YAgMo2
1.0
-1.6739 3.7615 -2.5055
1.6155 -1.4869 -3.3117
-3.3576 -1.9900 -0.7444
Mo Ag Y
2 1 1
Direct
0.0000 0.0000 0.0000
0.0000 0.5000 0.5000
0.5000 0.0000 0.5000
0.5000 0.5000 0.0000
```

Results
As for the crystal system: tetragonal. The space group is P4/mmm, No. 123. As for the energy of formation: 0.43 eV per atom. As for the density of states at the Fermi level: 3.40 states/eV/cell. As for the calculated density: 8.48 g/cm3.


Material: CrFe2Mo
Method: DFT, GGA-PBE
State: relaxed

Structure (POSCAR):
```
CrFe2Mo
1.0
-2.1717 -1.1818 -3.3079
2.0570 0.2778 -1.4497
1.8514 -4.5304 0.4031
Cr Fe Mo
1 2 1
Direct
0.5000 0.7406 0.7648
0.5000 0.2436 0.2377
0.0000 0.0049 0.9996
0.0000 0.5109 0.4978
```

Results
As for the crystal system: monoclinic. The space group is Pm, No. 6. As for the energy of formation: 0.11 eV per atom. As for the density of states at the Fermi level: 3.09 states/eV/cell. As for the calculated density: 8.50 g/cm3.


Material: Sn2Pd5Pt4
Method: DFT, GGA-PBE
State: relaxed

Structure (POSCAR):
```
Sn2Pd5Pt4
1.0
-1.4556 -1.8084 1.7100
-2.5588 -1.2335 -3.4826
11.8225 -8.8070 -1.6810
Pt Pd Sn
4 5 2
Direct
0.2811 0.3704 0.5622
0.7189 0.6296 0.4378
0.0444 0.5568 0.0889
0.9556 0.4432 0.9111
0.9036 0.8724 0.8072
0.8095 0.9090 0.6190
0.0964 0.1276 0.1928
0.1905 0.0910 0.3810
0.5000 0.0000 0.0000
0.3722 0.3443 0.7443
0.6278 0.6557 0.2557
```

Results
As for the crystal system: monoclinic. The space group is C2/m, No. 12. As for the energy of formation: -0.13 eV per atom. As for the density of states at the Fermi level: 11.44 states/eV/cell. As for the calculated density: 13.74 g/cm3.


Material: Rb3Er3InS8
Method: DFT, GGA-PBE
State: relaxed

Structure (POSCAR):
```
Rb3Er3InS8
1.0
-0.7759 7.1860 3.2469
-6.4315 -4.0024 -2.3517
3.9881 -3.0079 7.6116
Er S Rb In
3 8 3 1
Direct
0.5000 0.0000 0.5000
0.5000 0.5000 0.5000
0.0000 0.5000 0.5000
0.2271 0.9600 0.6871
0.7729 0.0400 0.3129
0.7329 0.9600 0.6872
0.7300 0.4601 0.6901
0.7728 0.5457 0.3129
0.2272 0.4543 0.6871
0.2700 0.5399 0.3099
0.2671 0.0400 0.3128
0.0000 0.5000 0.0000
0.5000 0.5000 0.0000
0.0000 0.0000 0.0000
0.0000 0.0000 0.5000
```

Results
As for the crystal system: monoclinic. The space group is C2/m, No. 12. For the uncorrected formation energy, the calculation gives -34.67 kcal/mol of atoms. As for the density of states at the Fermi level: 13.42 states/eV/cell. As for the calculated density: 4.38 g/cm3.